Record 1
# CdAg2Pd3 | Alexandria | GGA-PBE | optimized geometry
data_CdAg2Pd3
_cell_length_a 4.518
_cell_length_b 13.502
_cell_length_c 3.317
_cell_angle_alpha 90.00
_cell_angle_beta 90.00
_cell_angle_gamma 90.00
_symmetry_space_group_name_H-M 'C m m m'
_symmetry_Int_Tables_number 65
_symmetry_space_group_name_Hall '-C 2 2'
loop_
_atom_site_label
_atom_site_fract_x
_atom_site_fract_y
_atom_site_fract_z
_atom_site_occupancy
Cd1 0.000 0.000 0.000 1
Ag1 0.000 0.331 0.000 1
Pd1 0.000 0.165 0.500 1
Pd2 0.000 0.500 0.500 1
# Energy relative to the lowest polymorph listed for this composition = 0.00 eV/f.u.
# Formation energy = -170.8 meV per atom
# Raw total energy = -3.87 eV/atom

***

Record 2
# ThMg3Zn3 | Alexandria | GGA-PBE | optimized geometry
data_ThMg3Zn3
_cell_length_a 8.6241
_cell_length_b 8.6241
_cell_length_c 4.6477
_cell_angle_alpha 90.00
_cell_angle_beta 90.00
_cell_angle_gamma 120.00
_symmetry_space_group_name_H-M 'P 63/m'
_symmetry_Int_Tables_number 176
_symmetry_space_group_name_Hall '-P 6c'
loop_
_atom_site_label
_atom_site_fract_x
_atom_site_fract_y
_atom_site_fract_z
_atom_site_occupancy
Th1 0.3333 0.6667 0.2500 1
Mg1 0.0273 0.7707 0.7500 1
Zn1 0.0726 0.4661 0.7500 1
# Energy relative to the lowest polymorph listed for this composition = 0.00 eV/f.u.
# Formation energy = -92.5 meV per atom
# Raw total energy = -2.38 eV/atom

***

Record 3
# Cs2LiCdN | Alexandria | GGA-PBE | optimized geometry
data_Cs2LiCdN
_cell_length_a 6.571
_cell_length_b 6.571
_cell_length_c 4.015
_cell_angle_alpha 90.00
_cell_angle_beta 90.00
_cell_angle_gamma 90.00
_symmetry_space_group_name_H-M 'P 4/m m m'
_symmetry_Int_Tables_number 123
_symmetry_space_group_name_Hall '-P 4 2'
loop_
_atom_site_label
_atom_site_fract_x
_atom_site_fract_y
_atom_site_fract_z
_atom_site_occupancy
Cs1 0.000 0.500 0.000 1
Li1 0.000 0.000 0.500 1
Cd1 0.500 0.500 0.500 1
N1 0.000 0.000 0.000 1
# ΔE_f (raw) = 1.49 eV/f.u.
# Raw total energy = -2.27 eV/atom

***

Record 4
# Na2CePrO4 | Alexandria | GGA-PBE | optimized geometry
data_Na2CePrO4
_cell_length_a 6.017
_cell_length_b 3.607
_cell_length_c 6.242
_cell_angle_alpha 90.00
_cell_angle_beta 110.24
_cell_angle_gamma 90.00
_symmetry_space_group_name_H-M 'P 1 2/m 1'
_symmetry_Int_Tables_number 10
loop_
_symmetry_equiv_pos_as_xyz
'x,y,z'
'-x,-y,-z'
'-x,y,-z'
'x,-y,z'
loop_
_atom_site_label
_atom_site_fract_x
_atom_site_fract_y
_atom_site_fract_z
_atom_site_occupancy
Na1 0.000 0.000 0.000 1
Na2 0.000 0.500 0.500 1
Ce1 0.500 0.000 0.500 1
Pr1 0.500 0.500 0.000 1
O1 0.282 0.000 0.756 1
O2 0.283 0.500 0.265 1
# ΔE_f (raw) = -20.60 eV/f.u.
# Raw total energy = -6.72 eV/atom

***

Record 5
# Tb3Er2Zn2 | Alexandria | GGA-PBE | optimized geometry
data_Tb3Er2Zn2
_cell_length_a 12.865
_cell_length_b 3.668
_cell_length_c 8.980
_cell_angle_alpha 90.00
_cell_angle_beta 115.65
_cell_angle_gamma 90.00
_symmetry_space_group_name_H-M 'C 1 2/m 1'
_symmetry_Int_Tables_number 12
loop_
_symmetry_equiv_pos_as_xyz
'x,y,z'
'-x,-y,-z'
'-x,y,-z'
'x,-y,z'
'x+1/2,y+1/2,z'
'-x+1/2,-y+1/2,-z'
'-x+1/2,y+1/2,-z'
'x+1/2,-y+1/2,z'
loop_
_atom_site_label
_atom_site_fract_x
_atom_site_fract_y
_atom_site_fract_z
_atom_site_occupancy
Tb1 0.000 0.000 0.000 1
Tb2 0.110 0.000 0.441 1
Er1 0.149 0.500 0.812 1
Zn1 0.181 0.500 0.222 1
# Energy relative to the lowest polymorph listed for this composition = 0.00 eV/f.u.
# Formation energy = -150.7 meV per atom
# Raw total energy = -3.80 eV/atom

***

Record 6
# NdUSN2 | Alexandria | GGA-PBE | optimized geometry
data_NdUSN2
_cell_length_a 3.825
_cell_length_b 3.825
_cell_length_c 12.253
_cell_angle_alpha 90.00
_cell_angle_beta 90.00
_cell_angle_gamma 90.00
_symmetry_space_group_name_H-M 'I 4 m m'
_symmetry_Int_Tables_number 107
_symmetry_space_group_name_Hall 'I 4 -2'
loop_
_atom_site_label
_atom_site_fract_x
_atom_site_fract_y
_atom_site_fract_z
_atom_site_occupancy
Nd1 0.000 0.000 0.000 1
U1 0.000 0.000 0.304 1
S1 0.000 0.000 0.649 1
N1 0.000 0.500 0.384 1
# ΔE_f (raw) = -7.55 eV/f.u.
# Raw total energy = -8.88 eV/atom

***

Record 7
# Zr2CdRu | Alexandria | GGA-PBE | optimized geometry
data_Zr2CdRu
_cell_length_a 7.674
_cell_length_b 7.674
_cell_length_c 5.777
_cell_angle_alpha 90.00
_cell_angle_beta 90.00
_cell_angle_gamma 90.00
_symmetry_space_group_name_H-M 'I -4 2 d'
_symmetry_Int_Tables_number 122
_symmetry_space_group_name_Hall 'I -4 2bw'
loop_
_atom_site_label
_atom_site_fract_x
_atom_site_fract_y
_atom_site_fract_z
_atom_site_occupancy
Zr1 0.205 0.250 0.125 1
Cd1 0.000 0.000 0.500 1
Ru1 0.000 0.000 0.000 1
# Formation energy = 71.5 meV per atom
# Raw total energy = -6.75 eV/atom

***

Record 8
# RbHg2Ir | Alexandria | GGA-PBE | optimized geometry
data_RbHg2Ir
_cell_length_a 5.930
_cell_length_b 5.930
_cell_length_c 17.389
_cell_angle_alpha 90.00
_cell_angle_beta 90.00
_cell_angle_gamma 90.00
_symmetry_space_group_name_H-M 'I -4 2 d'
_symmetry_Int_Tables_number 122
_symmetry_space_group_name_Hall 'I -4 2bw'
loop_
_atom_site_label
_atom_site_fract_x
_atom_site_fract_y
_atom_site_fract_z
_atom_site_occupancy
Rb1 0.000 0.000 0.000 1
Hg1 0.022 0.250 0.625 1
Ir1 0.000 0.000 0.500 1
# Energy relative to the lowest polymorph listed for this composition = 0.00 eV/f.u.
# Formation energy = 349.4 meV per atom
# Raw total energy = -2.26 eV/atom

***

Record 9
# U5Sn4 | Alexandria | GGA-PBE | optimized geometry
data_U5Sn4
_cell_length_a 9.3152
_cell_length_b 9.3152
_cell_length_c 6.1926
_cell_angle_alpha 90.00
_cell_angle_beta 90.00
_cell_angle_gamma 120.00
_symmetry_space_group_name_H-M 'P 63/m c m'
_symmetry_Int_Tables_number 193
_symmetry_space_group_name_Hall '-P 6c 2'
loop_
_atom_site_label
_atom_site_fract_x
_atom_site_fract_y
_atom_site_fract_z
_atom_site_occupancy
U1 0.0000 0.2913 0.2500 1
U2 0.3333 0.6667 0.0000 1
Sn1 0.0000 0.0000 0.0000 1
Sn2 0.0000 0.3728 0.7500 1
# Formation energy = 107.4 meV per atom
# Raw total energy = -7.94 eV/atom

***

Record 10
# TmThCuMo | Alexandria | GGA-PBE | optimized geometry
data_TmThCuMo
_cell_length_a 7.020
_cell_length_b 7.020
_cell_length_c 7.020
_cell_angle_alpha 90.00
_cell_angle_beta 90.00
_cell_angle_gamma 90.00
_symmetry_space_group_name_H-M 'F -4 3 m'
_symmetry_Int_Tables_number 216
_symmetry_space_group_name_Hall 'F -4 2 3'
loop_
_atom_site_label
_atom_site_fract_x
_atom_site_fract_y
_atom_site_fract_z
_atom_site_occupancy
Tm1 0.000 0.000 0.000 1
Th1 0.000 0.000 0.500 1
Cu1 0.250 0.250 0.750 1
Mo1 0.250 0.250 0.250 1
# Formation energy = 66.1 meV per atom
# Raw total energy = -6.64 eV/atom

***

Record 11
# Fe2HAu | Alexandria | GGA-PBE | optimized geometry
data_Fe2HAu
_cell_length_a 5.914
_cell_length_b 5.914
_cell_length_c 5.914
_cell_angle_alpha 90.00
_cell_angle_beta 90.00
_cell_angle_gamma 90.00
_symmetry_space_group_name_H-M 'F m -3 m'
_symmetry_Int_Tables_number 225
_symmetry_space_group_name_Hall '-F 4 2 3'
loop_
_atom_site_label
_atom_site_fract_x
_atom_site_fract_y
_atom_site_fract_z
_atom_site_occupancy
Fe1 0.250 0.250 0.250 1
H1 0.000 0.000 0.000 1
Au1 0.000 0.000 0.500 1
# Energy relative to the lowest polymorph listed for this composition = 2.47 eV/f.u.
# Raw total energy = -5.13 eV/atom

***

Record 12
# Ga3AgPd | Alexandria | GGA-PBE | optimized geometry
data_Ga3AgPd
_cell_length_a 6.200
_cell_length_b 7.096
_cell_length_c 9.337
_cell_angle_alpha 90.00
_cell_angle_beta 119.32
_cell_angle_gamma 90.00
_symmetry_space_group_name_H-M 'P 1 21/c 1'
_symmetry_Int_Tables_number 14
loop_
_symmetry_equiv_pos_as_xyz
'x,y,z'
'-x,-y,-z'
'-x,y+1/2,-z+1/2'
'x,-y+1/2,z+1/2'
loop_
_atom_site_label
_atom_site_fract_x
_atom_site_fract_y
_atom_site_fract_z
_atom_site_occupancy
Ga1 0.045 0.211 0.116 1
Ga2 0.136 0.079 0.416 1
Ga3 0.413 0.549 0.241 1
Ag1 0.463 0.706 0.529 1
Pd1 0.187 0.631 0.710 1
# Energy relative to the lowest polymorph listed for this composition = 0.22 eV/f.u.
# Formation energy = -166.7 meV per atom
# Raw total energy = -3.59 eV/atom